a | A plane-wave DFT calculation with PBE-GGA was carried out for crystalline PmPrSmIn at its relaxed geometry.

a b c (Å): 5.603 5.603 5.603
angles (deg): 60.00 60.00 60.00
Atoms (fractional coordinates):
Pm (0.000, 0.000, 0.000)
Pr (0.500, 0.500, 0.500)
Sm (0.250, 0.250, 0.250)
In (0.750, 0.750, 0.750)

Results
Size of the total moment ... 1.25 Bohr magnetons per cell
V ... 31.09 Å³/atom

***

b | A plane-wave DFT calculation with PBE-GGA was carried out for crystalline PmPrSmIn at its relaxed geometry.

a b c (Å): 6.176 6.176 6.176
angles (deg): 133.26 133.26 68.24
Atoms (fractional coordinates):
Pm (0.000, 0.000, 0.000)
Pr (0.750, 0.250, 0.500)
Sm (0.500, 0.500, 0.000)
In (0.250, 0.750, 0.500)

Results
Size of the total moment ... 0.00 Bohr magnetons per cell
V ... 30.68 Å³/atom

***

Of them, the most stable is b and the least stable is a.